#1
Ba2GaPb2 | Alexandria via LeMat-Bulk | PBE | relaxed; space group = Ibam, No. 72
1.0
-3.715 7.361 3.572
3.715 -7.361 3.572
3.715 7.361 -3.572
Ba Ga Pb
4 2 4
Direct
0.135 0.207 0.342 Ba
0.365 0.707 0.072 Ba
0.635 0.293 0.928 Ba
0.865 0.793 0.658 Ba
0.250 0.750 0.500 Ga
0.750 0.250 0.500 Ga
0.113 0.710 0.823 Pb
0.387 0.210 0.597 Pb
0.613 0.790 0.403 Pb
0.887 0.290 0.177 Pb


#2
Ba2GaPb2 | Alexandria via LeMat-Bulk | PBE | relaxed; space group = C2/m, No. 12
1.0
6.582 -2.528 0.000
6.582 2.528 0.000
-5.717 0.000 11.236
Ba Ga Pb
4 2 4
Direct
0.104 0.104 0.406 Ba
0.291 0.291 0.843 Ba
0.709 0.709 0.157 Ba
0.896 0.896 0.594 Ba
0.476 0.476 0.211 Ga
0.524 0.524 0.789 Ga
0.070 0.070 0.930 Pb
0.383 0.383 0.380 Pb
0.617 0.617 0.620 Pb
0.930 0.930 0.070 Pb


Bottom line: #2, by a margin of 22 meV/atom.